# CeCdO (PBE, relaxed)
# Crystal system: trigonal
# E_form (uncorrected), meV/atom: -1878
# Calculated total energy, eV/atom: -5.81
# M_tot, μB/f.u.: 1.24
# Polymorph energy (0 for the lowest one), meV per atom: 82
# Fermi-level density of states, states/eV per cell: 28.44
data_CeCdO
_chemical_formula_sum 'Ce6 Cd6 O6'
_cell_length_a 3.9327
_cell_length_b 3.9327
_cell_length_c 30.2313
_cell_angle_alpha 90.00
_cell_angle_beta 90.00
_cell_angle_gamma 120.00
_symmetry_space_group_name_H-M 'R -3 m'
_symmetry_Int_Tables_number 166
_symmetry_space_group_name_Hall '-R 3 2"'
loop_
_atom_site_label
_atom_site_type_symbol
_atom_site_fract_x
_atom_site_fract_y
_atom_site_fract_z
Ce1 Ce 0.0000 0.0000 0.1178
Cd1 Cd 0.0000 0.0000 0.3653
O1 O 0.0000 0.0000 0.1970


# Ce4Cd2O (PBE, relaxed)
# Crystal system: tetragonal
# E_form (uncorrected), meV/atom: -744
# Calculated total energy, eV/atom: -5.10
# M_tot, μB/f.u.: 3.83
# Fermi-level density of states, states/eV per cell: 46.82
data_Ce4Cd2O
_chemical_formula_sum 'Ce8 Cd4 O2'
_cell_length_a 4.909
_cell_length_b 4.909
_cell_length_c 15.655
_cell_angle_alpha 90.00
_cell_angle_beta 90.00
_cell_angle_gamma 90.00
_symmetry_space_group_name_H-M 'I 4/m m m'
_symmetry_Int_Tables_number 139
_symmetry_space_group_name_Hall '-I 4 2'
loop_
_atom_site_label
_atom_site_type_symbol
_atom_site_fract_x
_atom_site_fract_y
_atom_site_fract_z
Ce1 Ce 0.000 0.000 0.161
Ce2 Ce 0.000 0.500 0.000
Cd1 Cd 0.000 0.000 0.364
O1 O 0.000 0.000 0.000


# CeCdOsO6 (PBE, relaxed)
# Crystal system: trigonal
# E_form (uncorrected), meV/atom: -1717
# Calculated total energy, eV/atom: -7.03
# M_tot, μB/f.u.: 1.81
# Fermi-level density of states, states/eV per cell: 10.78
data_CeCdOsO6
_chemical_formula_sum 'Ce2 Cd2 Os2 O12'
_cell_length_a 5.5968
_cell_length_b 5.5968
_cell_length_c 9.2654
_cell_angle_alpha 90.00
_cell_angle_beta 90.00
_cell_angle_gamma 120.00
_symmetry_space_group_name_H-M 'P -3 1 c'
_symmetry_Int_Tables_number 163
_symmetry_space_group_name_Hall '-P 3 2c'
loop_
_atom_site_label
_atom_site_type_symbol
_atom_site_fract_x
_atom_site_fract_y
_atom_site_fract_z
Ce1 Ce 0.3333 0.6667 0.2500
Cd1 Cd 0.0000 0.0000 0.0000
Os1 Os 0.3333 0.6667 0.7500
O1 O 0.0421 0.3792 0.6348


# CePaCd2O8 (PBE, relaxed)
# Crystal system: tetragonal
# E_form (uncorrected), meV/atom: -1931
# Calculated total energy, eV/atom: -6.68
# M_tot, μB/f.u.: 0.01
# Fermi-level density of states, states/eV per cell: 18.30
data_CePaCd2O8
_chemical_formula_sum 'Ce2 Pa2 Cd4 O16'
_cell_length_a 6.722
_cell_length_b 6.722
_cell_length_c 7.931
_cell_angle_alpha 90.00
_cell_angle_beta 90.00
_cell_angle_gamma 90.00
_symmetry_space_group_name_H-M 'I -4 m 2'
_symmetry_Int_Tables_number 119
_symmetry_space_group_name_Hall 'I -4 -2'
loop_
_atom_site_label
_atom_site_type_symbol
_atom_site_fract_x
_atom_site_fract_y
_atom_site_fract_z
Ce1 Ce 0.000 0.000 0.000
Pa1 Pa 0.000 0.500 0.250
Cd1 Cd 0.000 0.000 0.500
Cd2 Cd 0.000 0.500 0.750
O1 O 0.000 0.190 0.279
O2 O 0.000 0.322 0.978


Number 1: volume 22.50 Å³/atom. Number 2: volume 26.94 Å³/atom. Number 3: volume 13.96 Å³/atom. Number 4: volume 14.93 Å³/atom.